[1]
VASP calculation (PBE) on LiCuNO2 after structural relaxation.

Cell and atoms, written as POSCAR:
```
LiCuNO2
1.0
3.579 0.000 0.000
0.000 3.579 0.000
0.000 0.000 3.891
Li O Cu N
1 2 1 1
Direct
0.000 0.000 0.000
0.000 0.500 0.000
0.500 0.000 0.000
0.500 0.500 0.500
0.000 0.000 0.500
```

Values from the calculation:
total magnetization	0.889	μB/atom
volume	50	Å³/cell
energy relative to the elements, uncorrected	936	meV/atom
symmetry	P4/mmm
energy	-3.914	eV/atom

[2]
VASP calculation (PBE) on Sr2TcRu after structural relaxation.

Cell and atoms, written as POSCAR:
```
Sr2TcRu
1.0
-8.883 -0.214 -7.142
6.739 -4.035 -8.262
-1.551 -4.277 -7.041
Ru Tc Sr
2 2 4
Direct
0.000 0.000 0.000
0.750 0.250 0.500
0.500 0.500 0.000
0.250 0.750 0.500
0.800 0.125 0.250
0.950 0.625 0.250
0.375 0.200 0.750
0.875 0.050 0.750
```

Values from the calculation:
total magnetization	0.431	μB/atom
ΔE_f	3.1	eV per formula unit
volume	299	Å³/cell
energy above the lowest structure with this stoichiometry	0.604	eV/atom
symmetry	I-42d
energy	-4.970	eV/atom

[3]
VASP calculation (PBE) on LaSb2F after structural relaxation.

Cell and atoms, written as POSCAR:
```
LaSb2F
1.0
0.000 3.731 3.731
3.731 0.000 3.731
3.731 3.731 0.000
Sb F La
2 1 1
Direct
0.250 0.250 0.250
0.750 0.750 0.750
0.000 0.000 0.000
0.500 0.500 0.500
```

Values from the calculation:
total magnetization	0.000	μB/atom
volume	104	Å³/cell
energy relative to the elements, uncorrected	-772	meV/atom
energy above the lowest structure with this stoichiometry	0.526	eV/atom
symmetry	Fm-3m
energy	-4.533	eV/atom

[4]
VASP calculation (PBE) on HfInAg after structural relaxation.

Cell and atoms, written as POSCAR:
```
HfInAg
1.0
-2.427 -0.693 -1.910
-3.303 -4.182 3.112
-1.968 5.914 2.971
Hf Ag In
2 2 2
Direct
0.354 0.136 0.287
0.121 0.926 0.613
0.860 0.801 0.967
0.615 0.261 0.933
0.876 0.445 0.637
0.599 0.617 0.263
```

Values from the calculation:
total magnetization	0.000	μB/atom
ΔE_f	-0.2	eV per formula unit
volume	125	Å³/cell
symmetry	P-1
energy	-5.239	eV/atom